Record 1
Here is crystalline CaScPO2 at its relaxed geometry from Alexandria. Energies are from PBE.

Unit cell a=4.135 b=4.135 c=5.144 alpha=90.00 beta=90.00 gamma=90.00
Fractional positions:
Ca: 0.000 0.000 0.000
Sc: 0.500 0.500 0.500
P: 0.500 0.500 0.000
O: 0.000 0.500 0.500
O: 0.500 0.000 0.500

Properties
The value obtained for the total energy is -6.373 eV/atom. The value obtained for the uncorrected formation energy is -1.641 eV/atom. The energy above the most stable polymorph in this dataset is 0.0 kJ/mol of atoms.

***

Record 2
Here is crystalline Ca2Sc4P3O2 at its relaxed geometry from Alexandria. Energies are from PBE.

Unit cell a=11.472 b=11.472 c=11.472 alpha=158.71 beta=158.71 gamma=30.29
Fractional positions:
Ca: 0.197 0.197 0.000
Ca: 0.803 0.803 0.000
Sc: 0.077 0.577 0.500
Sc: 0.423 0.923 0.500
Sc: 0.577 0.077 0.500
Sc: 0.923 0.423 0.500
P: 0.332 0.332 0.000
P: 0.500 0.500 0.000
P: 0.668 0.668 0.000
O: 0.089 0.089 0.000
O: 0.911 0.911 0.000

Properties
The value obtained for the total energy is -6.937 eV/atom. The value obtained for the uncorrected formation energy is -1.893 eV/atom.